[1]
# IrCl2O

Crystalline IrCl2O at its relaxed geometry (PBE, the Alexandria database).

Calculated values
E_form (uncorrected)	0.905	eV/atom
V	139	Å³/cell
calculated density	6.68	g/cm³

a = 5.670 Å, b = 5.670 Å, c = 5.670 Å
α = 112.99°, β = 112.99°, γ = 102.65°
Sites, in units of the cell vectors:
Ir: 0.000 0.000 0.000
Ir: 0.750 0.250 0.500
Cl: 0.103 0.125 0.478
Cl: 0.375 0.897 0.022
Cl: 0.647 0.625 0.522
Cl: 0.875 0.353 0.978
O: 0.250 0.750 0.500
O: 0.500 0.500 0.000

[2]
# Ir3ClO

Crystalline Ir3ClO at its relaxed geometry (PBE, the Alexandria database).

Calculated values
E_form (uncorrected)	1.445	eV/atom
V	75	Å³/cell
calculated density	13.90	g/cm³
E above lowest polymorph	0.0	meV/atom

a = 4.218 Å, b = 4.218 Å, c = 4.218 Å
α = 90.00°, β = 90.00°, γ = 90.00°
Sites, in units of the cell vectors:
Ir: 0.000 0.000 0.500
Ir: 0.000 0.500 0.000
Ir: 0.500 0.000 0.000
Cl: 0.500 0.500 0.500
O: 0.000 0.000 0.000

[3]
# IrCl3O

Crystalline IrCl3O at its relaxed geometry (PBE, the Alexandria database).

Calculated values
E_form (uncorrected)	1.377	eV/atom
V	88	Å³/cell
calculated density	5.91	g/cm³
E above lowest polymorph	1755.1	meV/atom

a = 4.454 Å, b = 4.454 Å, c = 4.454 Å
α = 90.00°, β = 90.00°, γ = 90.00°
Sites, in units of the cell vectors:
Ir: 0.000 0.000 0.000
Cl: 0.000 0.500 0.500
Cl: 0.500 0.000 0.500
Cl: 0.500 0.500 0.000
O: 0.500 0.500 0.500

[4]
# Ir2ClO2

Crystalline Ir2ClO2 at its relaxed geometry (PBE, the Alexandria database).

Calculated values
E_form (uncorrected)	1.045	eV/atom
V	140	Å³/cell
calculated density	10.73	g/cm³
E above lowest polymorph	461.3	meV/atom

a = 7.237 Å, b = 7.237 Å, c = 2.670 Å
α = 90.00°, β = 90.00°, γ = 90.00°
Sites, in units of the cell vectors:
Ir: 0.132 0.368 0.000
Ir: 0.368 0.868 0.000
Ir: 0.632 0.132 0.000
Ir: 0.868 0.632 0.000
Cl: 0.000 0.000 0.500
Cl: 0.500 0.500 0.500
O: 0.114 0.614 0.500
O: 0.386 0.114 0.500
O: 0.614 0.886 0.500
O: 0.886 0.386 0.500

[5]
# IrCl2O

Crystalline IrCl2O at its relaxed geometry (PBE, the Alexandria database).

Calculated values
E_form (uncorrected)	0.917	eV/atom
V	64	Å³/cell
calculated density	7.19	g/cm³

a = 8.720 Å, b = 8.720 Å, c = 8.720 Å
α = 19.47°, β = 19.47°, γ = 19.47°
Sites, in units of the cell vectors:
Ir: 0.000 0.000 0.000
Cl: 0.086 0.086 0.086
Cl: 0.914 0.914 0.914
O: 0.500 0.500 0.500

[6]
# IrCl3O

Crystalline IrCl3O at its relaxed geometry (PBE, the Alexandria database).

Calculated values
E_form (uncorrected)	0.781	eV/atom
V	104	Å³/cell
calculated density	5.00	g/cm³
E above lowest polymorph	1159.0	meV/atom

a = 4.709 Å, b = 4.709 Å, c = 4.709 Å
α = 90.00°, β = 90.00°, γ = 90.00°
Sites, in units of the cell vectors:
Ir: 0.000 0.000 0.000
Cl: 0.000 0.000 0.500
Cl: 0.000 0.500 0.000
Cl: 0.500 0.000 0.000
O: 0.500 0.500 0.500